Below is a relaxed structure of Cs4Zr3MnP6O24, with properties calculated at the GGA+U level.

```
Cs4Zr3MnP6O24
1.0
10.514 0.000 0.000
0.000 10.496 0.000
-0.002 0.000 10.517
Cs Zr Mn P O
8 6 2 12 48
Direct
0.038 0.000 0.196
0.177 0.724 0.570
0.310 0.357 0.064
0.450 0.086 0.718
0.550 0.586 0.282
0.690 0.857 0.936
0.823 0.224 0.430
0.962 0.500 0.804
0.159 0.382 0.410
0.334 0.706 0.913
0.392 0.934 0.358
0.608 0.434 0.642
0.666 0.206 0.087
0.841 0.882 0.590
0.103 0.148 0.854
0.897 0.648 0.146
0.022 0.834 0.877
0.127 0.064 0.540
0.209 0.670 0.229
0.288 0.419 0.724
0.378 0.018 0.041
0.476 0.253 0.374
0.524 0.753 0.626
0.622 0.518 0.959
0.712 0.919 0.276
0.791 0.170 0.771
0.873 0.564 0.460
0.978 0.334 0.123
0.002 0.491 0.478
0.018 0.973 0.916
0.045 0.246 0.030
0.048 0.320 0.257
0.074 0.718 0.235
0.110 0.203 0.489
0.163 0.786 0.856
0.172 0.060 0.677
0.213 0.317 0.793
0.225 0.540 0.302
0.226 0.995 0.451
0.241 0.440 0.585
0.260 0.651 0.091
0.275 0.549 0.797
0.279 0.086 0.962
0.302 0.766 0.298
0.339 0.304 0.355
0.340 0.014 0.184
0.399 0.877 0.994
0.433 0.384 0.720
0.449 0.768 0.753
0.454 0.835 0.524
0.473 0.112 0.416
0.491 0.589 0.970
0.509 0.089 0.030
0.527 0.612 0.584
0.546 0.335 0.476
0.551 0.268 0.247
0.567 0.884 0.280
0.601 0.377 0.006
0.660 0.514 0.816
0.661 0.804 0.645
0.698 0.266 0.702
0.721 0.586 0.038
0.725 0.049 0.203
0.740 0.151 0.909
0.759 0.940 0.415
0.774 0.495 0.549
0.775 0.040 0.698
0.787 0.817 0.207
0.828 0.560 0.323
0.837 0.286 0.144
0.890 0.703 0.511
0.926 0.218 0.765
0.952 0.820 0.743
0.955 0.746 0.970
0.982 0.473 0.084
0.998 0.991 0.522
```

Magnetic moment: 5.00 μB/f.u.
Final energy: -7.5232 eV/atom